1.
A geometry-optimized YP3 structure. Source: the Alexandria database, functional PBE.

Cell: 5.1361 8.1958 7.7037 Å, 90.00 90.00 90.00°
With the nearest neighbours (Å) after each atom.
Atoms (fractional coordinates):
P (0.1454, 0.2506, 0.9881)  1 P 2.21
P (0.3546, 0.7506, 0.5119)  1 P 2.21
P (0.8546, 0.7494, 0.4881)  1 P 2.21
P (0.1454, 0.2506, 0.5119)  1 P 2.21
P (0.6454, 0.2494, 0.0119)  1 P 2.21
P (0.3816, 0.6007, 0.7500)  2 P 2.21
P (0.1184, 0.1007, 0.7500)  2 P 2.21
P (0.6184, 0.3993, 0.2500)  2 P 2.21
P (0.6454, 0.2494, 0.4881)  1 P 2.21
P (0.8546, 0.7494, 0.0119)  1 P 2.21
P (0.8816, 0.8993, 0.2500)  2 P 2.21
P (0.3546, 0.7506, 0.9881)  1 P 2.21
Y (0.6194, 0.9541, 0.7500)  9 P 2.83-3.15
Y (0.1194, 0.5459, 0.2500)  9 P 2.83-3.15
Y (0.3806, 0.0459, 0.2500)  9 P 2.83-3.15
Y (0.8806, 0.4541, 0.7500)  9 P 2.83-3.15

Output
total magnetization	0.0	μB per formula unit
V	20.3	Å³ per atom
symmetry	No. 62
electronic total energy	-6.32	eV/atom

=====

2.
A geometry-optimized Y2P structure. Source: the Alexandria database, functional PBE.

Cell: 7.0244 7.0244 6.7276 Å, 68.17 68.17 30.93°
With the nearest neighbours (Å) after each atom.
Atoms (fractional coordinates):
Y (0.0117, 0.0117, 0.7506)  4 P 2.84-3.07
Y (0.2814, 0.2814, 0.7365)  3 P 2.77-2.81
Y (0.9883, 0.9883, 0.2494)  4 P 2.84-3.07
Y (0.7186, 0.7186, 0.2635)  3 P 2.77-2.81
P (0.6264, 0.6264, 0.9540)  7 Y 2.77-3.07
P (0.3736, 0.3736, 0.0460)  7 Y 2.77-3.07

Output
total magnetization	0.3	μB per formula unit
V	26.2	Å³ per atom
symmetry	No. 12
electronic total energy	-7.05	eV/atom

=====

3.
A geometry-optimized YP2 structure. Source: the Alexandria database, functional PBE.

Cell: 5.2812 5.2812 5.3072 Å, 76.23 76.23 53.22°
With the nearest neighbours (Å) after each atom.
Atoms (fractional coordinates):
Y (0.0127, 0.0127, 0.5329)  8 P 2.73-3.03
Y (0.2560, 0.2560, 0.9108)  8 P 2.78-3.07
P (0.6472, 0.6472, 0.2570)  3 P 2.28-2.54
P (0.6396, 0.6396, 0.6896)  1 P 2.28
P (0.3692, 0.3692, 0.3428)  3 P 2.54-2.67, 1 Y 2.78
P (0.9086, 0.9086, 0.1003)  3 P 2.39-2.67

Output
total magnetization	0.0	μB per formula unit
V	19.0	Å³ per atom
symmetry	No. 8
electronic total energy	-6.51	eV/atom

=====

4.
A geometry-optimized Y5P4 structure. Source: the Alexandria database, functional PBE.

Cell: 9.2719 9.2719 9.2719 Å, 92.47 92.47 156.06°
With the nearest neighbours (Å) after each atom.
Atoms (fractional coordinates):
P (0.2117, 0.0000, 0.2117)  5 Y 2.72-2.86
P (0.0000, 0.2117, 0.2117)  5 Y 2.72-2.86
P (0.0000, 0.7883, 0.7883)  5 Y 2.72-2.86
P (0.7883, 0.0000, 0.7883)  5 Y 2.72-2.86
Y (0.3457, 0.3457, 0.6913)  4 P 2.86
Y (0.6543, 0.3457, 0.0000)  4 P 2.86
Y (0.6543, 0.6543, 0.3087)  4 P 2.86
Y (0.0000, 0.0000, 0.0000)  4 P 2.72
Y (0.3457, 0.6543, 0.0000)  4 P 2.86

Output
total magnetization	1.9	μB per formula unit
V	35.2	Å³ per atom
symmetry	No. 139
electronic total energy	-6.78	eV/atom

=====

5.
A geometry-optimized YP3 structure. Source: the Alexandria database, functional PBE.

Cell: 5.3408 5.3408 5.3408 Å, 137.83 123.92 72.59°
With the nearest neighbours (Å) after each atom.
Atoms (fractional coordinates):
Y (0.2872, 0.0000, 0.2872)  8 P 2.85-3.10
P (0.8017, 0.5000, 0.3017)  2 P 2.14
P (0.7347, 0.6958, 0.0389)  1 P 2.14
P (0.3430, 0.3042, 0.0389)  1 P 2.14

Output
total magnetization	0.0	μB per formula unit
V	20.8	Å³ per atom
symmetry	No. 44
electronic total energy	-6.24	eV/atom

=====

6.
A geometry-optimized YP5 structure. Source: the Alexandria database, functional PBE.

Cell: 7.8617 7.8617 3.6757 Å, 90.00 90.00 149.33°
With the nearest neighbours (Å) after each atom.
Atoms (fractional coordinates):
P (0.6646, 0.3354, 0.0000)  2 P 2.26
P (0.3818, 0.6182, 0.0000)  4 P 2.28-2.39
P (0.9597, 0.0403, 0.0000)  2 P 2.39
P (0.7508, 0.2492, 0.5000)  2 P 2.26
P (0.4705, 0.5295, 0.5000)  2 P 2.28
Y (0.1060, 0.8940, 0.5000)  10 P 2.88-3.02

Output
total magnetization	0.0	μB per formula unit
V	19.3	Å³ per atom
symmetry	No. 38
electronic total energy	-5.84	eV/atom

=====

7.
A geometry-optimized YP2 structure. Source: the Alexandria database, functional PBE.

Cell: 15.4203 15.4203 15.4203 Å, 165.45 165.45 20.63°
With the nearest neighbours (Å) after each atom.
Atoms (fractional coordinates):
P (0.4997, 0.9997, 0.5000)  4 P 2.76, 4 Y 2.86-2.87
P (0.7503, 0.7503, 0.0000)  4 P 2.76, 4 Y 2.86-2.87
P (0.6054, 0.6054, 0.0000)  2 P 2.28
P (0.8554, 0.3554, 0.5000)  2 P 2.28
P (0.3946, 0.3946, 0.0000)  2 P 2.28
P (0.6446, 0.1446, 0.5000)  2 P 2.28
P (0.2497, 0.2497, 0.0000)  4 P 2.76, 4 Y 2.86-2.87
P (0.0003, 0.5003, 0.5000)  4 P 2.76, 4 Y 2.86-2.87
Y (0.1809, 0.6809, 0.5000)  10 P 2.86-3.01
Y (0.0691, 0.0691, 0.0000)  10 P 2.86-3.01
Y (0.9309, 0.9309, 0.0000)  10 P 2.86-3.01
Y (0.3191, 0.8191, 0.5000)  10 P 2.86-3.01

Output
total magnetization	0.0	μB per formula unit
V	19.3	Å³ per atom
symmetry	No. 141
electronic total energy	-6.65	eV/atom

=====

8.
A geometry-optimized YP2 structure. Source: the Alexandria database, functional PBE.

Cell: 8.1789 8.1789 8.1789 Å, 152.71 152.71 38.98°
With the nearest neighbours (Å) after each atom.
Atoms (fractional coordinates):
P (0.0838, 0.0838, 0.0000)  3 P 2.31-2.58
P (0.6662, 0.1662, 0.5000)  3 P 2.31-2.58
P (0.9162, 0.9162, 0.0000)  3 P 2.31-2.58
P (0.8338, 0.3338, 0.5000)  3 P 2.31-2.58
Y (0.5000, 0.5000, 0.0000)  12 P 3.02-3.21
Y (0.2500, 0.7500, 0.5000)  12 P 3.02-3.21

Output
total magnetization	0.0	μB per formula unit
V	19.1	Å³ per atom
symmetry	No. 141
electronic total energy	-6.43	eV/atom

=====

9.
A geometry-optimized Y2P structure. Source: the Alexandria database, functional PBE.

Cell: 3.9463 6.4062 6.6221 Å, 90.00 90.00 90.00°
With the nearest neighbours (Å) after each atom.
Atoms (fractional coordinates):
Y (0.5000, 0.2482, 0.1633)  3 P 2.75
Y (0.0000, 0.2518, 0.6633)  3 P 2.75
Y (0.0000, 0.7482, 0.3367)  3 P 2.75
Y (0.5000, 0.7518, 0.8367)  3 P 2.75
P (0.0000, 0.0000, 0.0000)  6 Y 2.75
P (0.5000, 0.5000, 0.5000)  6 Y 2.75

Output
total magnetization	0.0	μB per formula unit
V	27.9	Å³ per atom
symmetry	No. 58
electronic total energy	-7.09	eV/atom

=====

10.
A geometry-optimized Y2P structure. Source: the Alexandria database, functional PBE.

Cell: 7.8995 7.8995 5.6303 Å, 90.00 90.00 151.49°
With the nearest neighbours (Å) after each atom.
Atoms (fractional coordinates):
P (0.8109, 0.1891, 0.7500)  6 Y 2.71-2.82
P (0.1891, 0.8109, 0.2500)  6 Y 2.71-2.82
Y (0.8183, 0.1817, 0.2500)  4 P 2.77-2.82
Y (0.5655, 0.4345, 0.2500)  2 P 2.71
Y (0.4345, 0.5655, 0.7500)  2 P 2.71
Y (0.1817, 0.8183, 0.7500)  4 P 2.77-2.82

Output
total magnetization	0.0	μB per formula unit
V	28.0	Å³ per atom
symmetry	No. 63
electronic total energy	-7.08	eV/atom

=====

11.
A geometry-optimized Y2P3 structure. Source: the Alexandria database, functional PBE.

Cell: 7.4250 7.4250 7.4250 Å, 31.89 31.89 31.89°
With the nearest neighbours (Å) after each atom.
Atoms (fractional coordinates):
P (0.0000, 0.0000, 0.0000)  6 Y 2.87
P (0.1701, 0.1701, 0.1701)  3 P 2.36
P (0.8299, 0.8299, 0.8299)  3 P 2.36
Y (0.5894, 0.5894, 0.5894)  9 P 2.87-3.06
Y (0.4106, 0.4106, 0.4106)  9 P 2.87-3.06

Output
total magnetization	0.0	μB per formula unit
V	20.3	Å³ per atom
symmetry	No. 166
electronic total energy	-6.92	eV/atom

=====

12.
A geometry-optimized Y5P3 structure. Source: the Alexandria database, functional PBE.

Cell: 6.8686 6.8686 4.2307 Å, 90.00 90.00 109.14°
With the nearest neighbours (Å) after each atom.
Atoms (fractional coordinates):
P (0.5000, 0.5000, 0.0000)  4 Y 2.73
P (0.8235, 0.1765, 0.5000)  8 Y 2.89-3.02
P (0.1765, 0.8235, 0.5000)  8 Y 2.89-3.02
Y (0.0000, 0.0000, 0.0000)  4 P 2.89, 4 Y 3.10
Y (0.5000, 0.0000, 0.0000)  4 P 3.02
Y (0.0000, 0.5000, 0.0000)  4 P 3.02
Y (0.7158, 0.7158, 0.5000)  4 P 2.73-3.00
Y (0.2842, 0.2842, 0.5000)  4 P 2.73-3.00

Output
total magnetization	0.5	μB per formula unit
V	23.6	Å³ per atom
symmetry	No. 65
electronic total energy	-6.96	eV/atom

=====

13.
A geometry-optimized Y2P structure. Source: the Alexandria database, functional PBE.

Cell: 4.6214 4.6214 3.6123 Å, 90.00 90.00 90.00°
With the nearest neighbours (Å) after each atom.
Atoms (fractional coordinates):
P (0.0000, 0.0000, 0.0000)  8 Y 2.93
Y (0.0000, 0.5000, 0.5000)  4 P 2.93, 4 Y 3.27
Y (0.5000, 0.0000, 0.5000)  4 P 2.93, 4 Y 3.27

Output
total magnetization	0.3	μB per formula unit
V	25.7	Å³ per atom
symmetry	No. 123
electronic total energy	-6.87	eV/atom

=====

14.
A geometry-optimized YP2 structure. Source: the Alexandria database, functional PBE.

Cell: 5.1671 5.1671 5.1671 Å, 137.00 137.00 62.44°
With the nearest neighbours (Å) after each atom.
Atoms (fractional coordinates):
P (0.1250, 0.1250, 0.0000)  1 P 2.21
P (0.8750, 0.8750, 0.0000)  1 P 2.21
Y (0.5000, 0.5000, 0.0000)  8 P 2.90

Output
total magnetization	0.0	μB per formula unit
V	21.1	Å³ per atom
symmetry	No. 139
electronic total energy	-6.52	eV/atom